[1]
## SiTeIrI2 (PBE)

Data for a relaxed SiTeIrI2 crystal.

Unit cell a=5.4137 b=5.4137 c=5.1892 alpha=90.00 beta=90.00 gamma=90.00
Element x y z (fractional)
Si 0.0000 0.0000 0.0000
Te 0.5000 0.5000 0.0000
Ir 0.5000 0.5000 0.5000
I 0.0000 0.5000 0.5000
I 0.5000 0.0000 0.5000

Distance to the lowest polymorph of the same formula   0.000 eV per atom
Uncorrected formation energy   0.772 eV/atom

[2]
## ZrVCr (PBE)

Data for a relaxed ZrVCr crystal.

Unit cell a=5.3507 b=5.3507 c=6.2267 alpha=104.17 beta=104.17 gamma=33.51
Element x y z (fractional)
Zr 0.0000 0.0000 0.0000
Zr 0.0000 0.0000 0.5000
V 0.3068 0.3068 0.6674
V 0.6932 0.6932 0.3326
Cr 0.3145 0.3145 0.1548
Cr 0.6855 0.6855 0.8452

Distance to the lowest polymorph of the same formula   0.148 eV per atom
ΔH_f (0 K)   0.12 eV per atom

[3]
## PW4Cl11 (PBE)

Data for a relaxed PW4Cl11 crystal.

Unit cell a=8.8877 b=8.8877 c=11.5403 alpha=90.00 beta=90.00 gamma=111.17
Element x y z (fractional)
P 0.1778 0.8222 0.7500
P 0.8222 0.1778 0.2500
W 0.1441 0.5956 0.6278
W 0.1441 0.5956 0.8722
W 0.4044 0.8559 0.6278
W 0.4044 0.8559 0.8722
W 0.5956 0.1441 0.1278
W 0.5956 0.1441 0.3722
W 0.8559 0.4044 0.1278
W 0.8559 0.4044 0.3722
Cl 0.0158 0.3256 0.5144
Cl 0.0158 0.3256 0.9856
Cl 0.0386 0.9614 0.7500
Cl 0.1042 0.5119 0.2500
Cl 0.2498 0.4355 0.7500
Cl 0.3256 0.0158 0.0144
Cl 0.3256 0.0158 0.4856
Cl 0.3676 0.6324 0.0030
Cl 0.3676 0.6324 0.4970
Cl 0.4355 0.2498 0.2500
Cl 0.4881 0.8958 0.2500
Cl 0.5119 0.1042 0.7500
Cl 0.5645 0.7502 0.7500
Cl 0.6324 0.3676 0.5030
Cl 0.6324 0.3676 0.9970
Cl 0.6744 0.9842 0.5144
Cl 0.6744 0.9842 0.9856
Cl 0.7502 0.5645 0.2500
Cl 0.8958 0.4881 0.7500
Cl 0.9614 0.0386 0.2500
Cl 0.9842 0.6744 0.0144
Cl 0.9842 0.6744 0.4856

Uncorrected formation energy   -0.783 eV/atom

Number 1: size of the total moment 0.00 Bohr magnetons per cell, uncorrected energy -0.2450 Ry per atom. Number 2: size of the total moment 0.00 Bohr magnetons per cell, uncorrected energy -0.6597 Ry per atom. Number 3: size of the total moment 0.00 Bohr magnetons per cell, uncorrected energy -0.4137 Ry per atom.